Record 1
Compound: VNi2Pd
Source: the Alexandria database
Functional: PBE
Structure: optimized geometry

energy relative to the elements	-3	kJ/mol of atoms
energy above the lowest structure with this stoichiometry	165	meV per atom
V	51	Å³/f.u.
symmetry	No. 160

a = 2.6433 Å, b = 2.6433 Å, c = 8.5689 Å
α = 81.12°, β = 81.12°, γ = 59.98°
Fractional coordinates of all 4 atoms:
V: 0.6670 0.6670 0.0001
Ni: 0.0779 0.0779 0.7643
Ni: 0.2549 0.2549 0.2356
Pd: 0.5003 0.5003 0.4999

---

Record 2
Compound: V2Ni3Pd2
Source: the Alexandria database
Functional: PBE
Structure: optimized geometry

energy relative to the elements	-19	kJ/mol of atoms
V	89	Å³/f.u.
symmetry	No. 12

a = 3.6299 Å, b = 4.5837 Å, c = 5.8880 Å
α = 83.57°, β = 90.00°, γ = 113.33°
Site moments in Bohr magnetons follow the coordinates.
Fractional coordinates of all 7 atoms:
V: 0.9284 0.8568 0.7097  0.32
V: 0.0716 0.1432 0.2903  0.32
Ni: 0.3670 0.7339 0.4307  0.02
Ni: 0.6330 0.2661 0.5693  0.02
Ni: 0.5000 0.0000 0.0000  -0.01
Pd: 0.7893 0.5787 0.1524  0.00
Pd: 0.2107 0.4213 0.8476  0.00

---

Record 3
Compound: VNiPd3
Source: the Alexandria database
Functional: PBE
Structure: optimized geometry

energy relative to the elements	11	kJ/mol of atoms
energy above the lowest structure with this stoichiometry	125	meV per atom
V	77	Å³/f.u.
symmetry	No. 46

a = 6.0730 Å, b = 6.0730 Å, c = 6.0730 Å
α = 95.95°, β = 104.35°, γ = 130.43°
Fractional coordinates of all 10 atoms:
V: 0.7304 0.8512 0.3792
V: 0.4720 0.3512 0.6208
Ni: 0.4425 0.8524 0.0900
Ni: 0.7624 0.3524 0.9100
Pd: 0.1325 0.3139 0.8029
Pd: 0.1325 0.8296 0.3186
Pd: 0.5110 0.8139 0.6814
Pd: 0.0647 0.3111 0.2536
Pd: 0.5110 0.3296 0.1971
Pd: 0.0575 0.8111 0.7464

---

Record 4
Compound: V2NiPd
Source: the Alexandria database
Functional: PBE
Structure: optimized geometry

energy relative to the elements	29	kJ/mol of atoms
energy above the lowest structure with this stoichiometry	469	meV per atom
V	57	Å³/f.u.
symmetry	No. 122

a = 3.6111 Å, b = 3.6111 Å, c = 9.0726 Å
α = 78.52°, β = 78.52°, γ = 90.00°
Fractional coordinates of all 8 atoms:
Ni: 0.5000 0.5000 0.0000
Ni: 0.2500 0.7500 0.5000
Pd: 0.0000 0.0000 0.0000
Pd: 0.7500 0.2500 0.5000
V: 0.6110 0.1250 0.2500
V: 0.1390 0.6250 0.2500
V: 0.3750 0.3890 0.7500
V: 0.8750 0.8610 0.7500